This record from the Alexandria database describes a relaxed structure of SrScOs2. The functional is PBE.

The formation energy comes out at 0.4270 eV/atom. The crystal system is orthorhombic. Its space group is Imm2, No. 44. As for the mass density: 10437 kg/m³.

Lattice parameters (Å, degrees): 3.052 5.109 10.471 90.00 90.00 90.00
Positions (direct):
Sr: 0.000 0.000 0.000
Sr: 0.500 0.500 0.500
Sc: 0.000 0.500 0.797
Sc: 0.500 0.000 0.297
Os: 0.000 0.000 0.529
Os: 0.000 0.500 0.225
Os: 0.500 0.000 0.725
Os: 0.500 0.500 0.029